ScNbIN2, optimized geometry, DFT PBE; spin magnetization = 0.00 μB/cell; energy = -5.909 eV per atom; formation energy without anion corrections = 1.0119 eV per atom; Fermi-level density of states = 6.9 states/eV/cell
1.0
-4.049 -0.823 0.185
0.806 -3.512 2.030
-0.327 2.678 4.763
N Sc I Nb
2 1 1 1
Direct
0.500 0.000 0.000 N
0.000 0.500 0.000 N
0.000 0.000 0.000 Sc
0.000 0.000 0.500 I
0.500 0.500 0.500 Nb


LiTaOs2, optimized geometry, DFT PBE; spin magnetization = 0.00 μB/cell; energy = -8.809 eV per atom; Fermi-level density of states = 2.3 states/eV/cell
1.0
2.766 0.000 0.000
0.000 2.766 0.000
0.000 0.000 8.063
Os Ta Li
2 1 1
Direct
0.500 0.500 0.224 Os
0.000 0.000 0.010 Os
0.000 0.000 0.492 Ta
0.500 0.500 0.774 Li


Ru2SeO, optimized geometry, DFT PBE; spin magnetization = 0.00 μB/cell; energy = -6.757 eV per atom; formation energy without anion corrections = -0.0087 eV per atom; Fermi-level density of states = 3.7 states/eV/cell
1.0
-1.025 3.779 -2.666
-3.831 0.835 2.658
0.697 5.602 3.465
Se Ru O
2 4 2
Direct
0.000 0.000 0.000 Se
0.750 0.250 0.500 Se
0.875 0.786 0.750 Ru
0.375 0.464 0.750 Ru
0.536 0.125 0.250 Ru
0.214 0.625 0.250 Ru
0.500 0.500 0.000 O
0.250 0.750 0.500 O


Yb3Fe3S8, optimized geometry, DFT PBE; spin magnetization = 10.74 μB/cell; energy = -5.448 eV per atom; formation energy without anion corrections = -0.9492 eV per atom; Fermi-level density of states = 33.3 states/eV/cell
1.0
6.500 -3.741 -0.071
6.500 3.741 -0.071
4.414 0.000 6.064
S Fe Yb
8 3 3
Direct
0.252 0.734 0.734 S
0.246 0.246 0.246 S
0.266 0.748 0.266 S
0.266 0.266 0.748 S
0.734 0.252 0.734 S
0.734 0.734 0.252 S
0.748 0.266 0.266 S
0.754 0.754 0.754 S
0.126 0.126 0.126 Fe
0.500 0.500 0.500 Fe
0.874 0.874 0.874 Fe
0.500 0.000 0.500 Yb
0.000 0.500 0.500 Yb
0.500 0.500 0.000 Yb


EuDyY, optimized geometry, DFT PBE; spin magnetization = 7.12 μB/cell; energy = -7.054 eV per atom; Fermi-level density of states = 4.0 states/eV/cell
1.0
-1.041 -1.498 3.165
-2.999 -1.323 -1.612
5.849 -5.070 -2.584
Dy Y Eu
1 1 1
Direct
0.674 0.674 0.349 Dy
0.325 0.325 0.650 Y
0.001 0.001 0.002 Eu


Ho2Cd3In2, optimized geometry, DFT PBE; spin magnetization = 0.00 μB/cell; energy = -2.723 eV per atom; Fermi-level density of states = 3.1 states/eV/cell
1.0
-0.351 -1.469 -3.065
-2.883 -3.174 1.851
-7.105 8.101 -3.067
In Ho Cd
2 2 3
Direct
0.500 0.289 0.578 In
0.500 0.711 0.422 In
0.000 0.151 0.301 Ho
0.000 0.849 0.699 Ho
0.000 0.000 0.000 Cd
0.500 0.431 0.862 Cd
0.500 0.569 0.138 Cd


AgP4Se, optimized geometry, DFT PBE; spin magnetization = 0.02 μB/cell; energy = -4.109 eV per atom; formation energy without anion corrections = 0.5532 eV per atom; Fermi-level density of states = 5.6 states/eV/cell
1.0
3.215 -3.544 2.982
-1.684 -1.722 5.099
-1.652 -5.336 0.770
P Ag Se
4 1 1
Direct
0.797 0.401 0.401 P
0.401 0.401 0.401 P
0.401 0.401 0.797 P
0.401 0.797 0.401 P
0.000 0.000 0.000 Ag
0.750 0.750 0.750 Se


Th4Te5H, optimized geometry, DFT PBE; spin magnetization = 0.00 μB/cell; energy = -5.693 eV per atom; Fermi-level density of states = 7.0 states/eV/cell
1.0
-1.802 -3.513 1.531
3.263 -4.608 -6.732
7.454 1.165 5.590
Th H Te
4 1 5
Direct
0.644 0.072 0.289 Th
0.001 0.767 0.003 Th
0.356 0.928 0.711 Th
0.999 0.233 0.997 Th
0.500 0.000 0.000 H
0.171 0.341 0.342 Te
0.824 0.178 0.648 Te
0.176 0.822 0.352 Te
0.829 0.659 0.658 Te
0.500 0.500 0.000 Te